# YCrAuS2

An optimized crystal structure of YCrAuS2 (GGA-PBEsol, the Alexandria database).

Summary:
raw formation energy	-0.196	eV per atom
V	20.02	Å³ per atom

a b c (Å): 4.288 4.288 5.445
angles (deg): 90.00 90.00 90.00
Space group P4/mmm (No. 123)
Asymmetric unit:
Y (0.000, 0.000, 0.000) x1
Cr (0.000, 0.000, 0.500) x1
Au (0.500, 0.500, 0.000) x1
S (0.000, 0.500, 0.500) x2